(1)
La6Co3Br2: optimized geometry, PBE-GGA.

Geometry as CIF:
```
data_La6Co3Br2
_cell_length_a 7.0410
_cell_length_b 12.2343
_cell_length_c 8.1431
_cell_angle_alpha 90.00
_cell_angle_beta 106.79
_cell_angle_gamma 90.00
_space_group_name_H-M_alt 'C 1 2/m 1'
_space_group_IT_number 12
loop_
_space_group_symop_operation_xyz
'x,y,z'
'-x,-y,-z'
'-x,y,-z'
'x,-y,z'
'x+1/2,y+1/2,z'
'-x+1/2,-y+1/2,-z'
'-x+1/2,y+1/2,-z'
'x+1/2,-y+1/2,z'
loop_
_atom_site_label
_atom_site_fract_x
_atom_site_fract_y
_atom_site_fract_z
La1 0.2314 0.0000 0.1903
La2 0.2320 0.3332 0.1927
Co1 0.0000 0.1716 0.0000
Co2 0.0000 0.5000 0.0000
Br1 0.0000 0.3341 0.5000
```

Values from the calculation:
Density of states at the Fermi level = 0.683 states/eV per atom
Calculated volume = 30.526 Å³ per atom
Total magnetization = 0.00 μB per atom
Formation energy from raw total energies = -598 meV per atom

(2)
La4CoBr5: optimized geometry, PBE-GGA.

Geometry as CIF:
```
data_La4CoBr5
_cell_length_a 19.4363
_cell_length_b 4.0876
_cell_length_c 8.8318
_cell_angle_alpha 90.00
_cell_angle_beta 105.10
_cell_angle_gamma 90.00
_space_group_name_H-M_alt 'C 1 2/m 1'
_space_group_IT_number 12
loop_
_space_group_symop_operation_xyz
'x,y,z'
'-x,-y,-z'
'-x,y,-z'
'x,-y,z'
'x+1/2,y+1/2,z'
'-x+1/2,-y+1/2,-z'
'-x+1/2,y+1/2,-z'
'x+1/2,-y+1/2,z'
loop_
_atom_site_label
_atom_site_fract_x
_atom_site_fract_y
_atom_site_fract_z
La1 0.0018 0.0000 0.2897
La2 0.1525 0.5000 0.5987
Co1 0.0000 0.5000 0.5000
Br1 0.0000 0.5000 0.0000
Br2 0.1650 0.0000 0.8587
Br3 0.1730 0.0000 0.3470
```

Values from the calculation:
Density of states at the Fermi level = 0.600 states/eV per atom
Calculated volume = 33.871 Å³ per atom
Total magnetization = 0.00 μB per atom
Formation energy from raw total energies = -1429 meV per atom

(3)
La4CoBr: optimized geometry, PBE-GGA.

Geometry as CIF:
```
data_La4CoBr
_cell_length_a 9.0512
_cell_length_b 9.0512
_cell_length_c 9.0512
_cell_angle_alpha 90.00
_cell_angle_beta 90.00
_cell_angle_gamma 90.00
_space_group_name_H-M_alt 'F -4 3 m'
_space_group_IT_number 216
_space_group_name_Hall 'F -4 2 3'
loop_
_atom_site_label
_atom_site_fract_x
_atom_site_fract_y
_atom_site_fract_z
La1 0.1236 0.1236 0.3764
Co1 0.2500 0.2500 0.7500
Br1 0.0000 0.0000 0.0000
```

Values from the calculation:
Density of states at the Fermi level = 1.998 states/eV per atom
Calculated volume = 30.896 Å³ per atom
Total magnetization = 0.14 μB per atom
Formation energy from raw total energies = 514 meV per atom

(4)
LaCo2Br: optimized geometry, PBE-GGA.

Geometry as CIF:
```
data_LaCo2Br
_cell_length_a 6.8669
_cell_length_b 3.9725
_cell_length_c 6.9146
_cell_angle_alpha 90.00
_cell_angle_beta 90.14
_cell_angle_gamma 90.00
_space_group_name_H-M_alt 'C 1 m 1'
_space_group_IT_number 8
loop_
_space_group_symop_operation_xyz
'x,y,z'
'x,-y,z'
'x+1/2,y+1/2,z'
'x+1/2,-y+1/2,z'
loop_
_atom_site_label
_atom_site_fract_x
_atom_site_fract_y
_atom_site_fract_z
La1 0.0000 0.0000 0.0000
Co1 0.1663 0.5000 0.6832
Co2 0.3330 0.0000 0.7497
Br1 0.1668 0.5000 0.3135
```

Values from the calculation:
Density of states at the Fermi level = 0.615 states/eV per atom
Calculated volume = 23.578 Å³ per atom
Total magnetization = 0.67 μB per atom
Formation energy from raw total energies = -266 meV per atom
ΔE to the lowest computed polymorph = 0 kJ/mol of formula units